{
  "formula": "YZr2Tc",
  "functional": "SCAN",
  "state": "PBEsol geometry",
  "lattice_angstrom": [[3.288, 0.000, 0.000], [0.000, 3.288, 0.000], [0.000, 0.000, 7.976]],
  "species": ["Zr", "Tc", "Y", "Zr"],
  "frac_coords": [[0.000, 0.000, 0.193], [0.500, 0.500, 0.000], [0.500, 0.500, 0.500], [0.000, 0.000, 0.807]],
  "dos_at_fermi_per_ev_atom": 1.399,
  "formation_energy_ev_per_atom": -0.149,
  "rho_g_cm3": 7.1,
  "volume_a3_per_atom": 21.56
}

---

{
  "formula": "RbAg2Sn2",
  "functional": "SCAN",
  "state": "PBEsol geometry",
  "lattice_angstrom": [[-1.611, -4.001, 2.341], [4.635, -1.379, 0.832], [-1.535, 5.490, 3.183]],
  "species": ["Ag", "Ag", "Sn", "Rb", "Sn"],
  "frac_coords": [[0.250, 0.750, 0.500], [0.750, 0.250, 0.500], [0.632, 0.632, 0.264], [0.000, 0.000, 0.000], [0.368, 0.368, 0.736]],
  "dos_at_fermi_per_ev_atom": 0.507,
  "formation_energy_ev_per_atom": -0.093,
  "rho_g_cm3": 6.7,
  "volume_a3_per_atom": 26.64
}

---

{
  "formula": "NaPt2",
  "functional": "SCAN",
  "state": "PBEsol geometry",
  "lattice_angstrom": [[-4.031, -2.254, 2.554], [0.594, -4.769, 2.182], [0.152, -0.499, 5.252]],
  "species": ["Pt", "Na", "Pt", "Pt", "Na", "Pt"],
  "frac_coords": [[0.625, 0.125, 0.625], [0.250, 0.250, 0.250], [0.625, 0.625, 0.625], [0.125, 0.625, 0.625], [0.000, 0.000, 0.000], [0.625, 0.625, 0.125]],
  "dos_at_fermi_per_ev_atom": 0.223,
  "formation_energy_ev_per_atom": -0.478,
  "rho_g_cm3": 13.2,
  "volume_a3_per_atom": 17.33
}